The following is a PBE calculation of a geometry-optimized CsPmI3 structure, from Alexandria.

Computed properties:
The total energy comes out at -3.352 eV per atom. As for the excess energy over the best structure of this formula in the dataset: 91 meV/atom. As for the crystal system: cubic. The calculation puts the energy relative to the elements, uncorrected at -1.301 eV/atom. As for the total magnetic moment: 0.0 Bohr magnetons per cell.

Unit cell a=6.2194 b=6.2194 c=6.2194 alpha=90.00 beta=90.00 gamma=90.00
Sites, in units of the cell vectors:
1 Cs 0.5000 0.5000 0.5000
2 I 0.0000 0.5000 0.0000
3 I 0.0000 0.0000 0.5000
4 I 0.5000 0.0000 0.0000
5 Pm 0.0000 0.0000 0.0000

=====

The following is a PBE calculation of a geometry-optimized Cs2PmI5 structure, from Alexandria.

Computed properties:
The total energy comes out at -3.283 eV per atom. As for the excess energy over the best structure of this formula in the dataset: 0 meV/atom. As for the crystal system: orthorhombic. The calculation puts the energy relative to the elements, uncorrected at -1.506 eV/atom. As for the total magnetic moment: 0.0 Bohr magnetons per cell.

Unit cell a=9.9157 b=10.2186 c=15.3624 alpha=90.00 beta=90.00 gamma=90.00
Sites, in units of the cell vectors:
1 Pm 0.4275 0.2500 0.5063
2 Pm 0.0725 0.2500 0.0063
3 Pm 0.5725 0.7500 0.4937
4 Pm 0.9275 0.7500 0.9937
5 I 0.6044 0.7500 0.9845
6 I 0.6657 0.0488 0.4440
7 I 0.1657 0.5488 0.0560
8 I 0.3343 0.9512 0.5560
9 I 0.0834 0.7500 0.8154
10 I 0.6657 0.4512 0.4440
11 I 0.4166 0.7500 0.3154
12 I 0.1323 0.2500 0.8062
13 I 0.1044 0.2500 0.5155
14 I 0.3343 0.5488 0.5560
15 I 0.3677 0.2500 0.3062
16 I 0.3956 0.2500 0.0155
17 I 0.8343 0.4512 0.9440
18 I 0.8677 0.7500 0.1938
19 I 0.8343 0.0488 0.9440
20 I 0.5834 0.2500 0.6846
21 I 0.8956 0.7500 0.4845
22 I 0.1657 0.9512 0.0560
23 I 0.6323 0.7500 0.6938
24 I 0.9166 0.2500 0.1846
25 Cs 0.9088 0.0122 0.6691
26 Cs 0.0912 0.9878 0.3309
27 Cs 0.5912 0.0122 0.1691
28 Cs 0.5912 0.4878 0.1691
29 Cs 0.4088 0.9878 0.8309
30 Cs 0.0912 0.5122 0.3309
31 Cs 0.4088 0.5122 0.8309
32 Cs 0.9088 0.4878 0.6691

=====

The following is a PBE calculation of a geometry-optimized CsPm2I8 structure, from Alexandria.

Computed properties:
The total energy comes out at -3.307 eV per atom. As for the excess energy over the best structure of this formula in the dataset: 34 meV/atom. As for the crystal system: monoclinic. The calculation puts the energy relative to the elements, uncorrected at -1.238 eV/atom. As for the total magnetic moment: 0.0 Bohr magnetons per cell.

Unit cell a=9.8166 b=7.8780 c=7.8780 alpha=77.00 beta=79.30 gamma=79.30
Sites, in units of the cell vectors:
1 I 0.1746 0.2529 0.2529
2 I 0.3741 0.6979 0.0680
3 I 0.2855 0.5781 0.5781
4 I 0.6259 0.9320 0.3021
5 I 0.7145 0.4219 0.4219
6 I 0.3741 0.0680 0.6979
7 I 0.6259 0.3021 0.9320
8 I 0.8254 0.7471 0.7471
9 Pm 0.4524 0.3186 0.3186
10 Pm 0.5476 0.6814 0.6814
11 Cs 0.0000 0.0000 0.0000

=====

The following is a PBE calculation of a geometry-optimized Cs2Pm3I8 structure, from Alexandria.

Computed properties:
The total energy comes out at -3.509 eV per atom. As for the crystal system: monoclinic. The calculation puts the energy relative to the elements, uncorrected at -1.327 eV/atom. As for the total magnetic moment: 1.3 Bohr magnetons per cell.

Unit cell a=8.7614 b=7.5561 c=10.6704 alpha=100.86 beta=114.24 gamma=90.00
Each line ends with the local moment (μB).
Sites, in units of the cell vectors:
1 Cs 0.7452 0.6823 0.4905  0.00
2 Cs 0.2548 0.3177 0.5095  0.00
3 I 0.1153 0.8744 0.2306  0.00
4 I 0.8484 0.3882 0.1986  0.00
5 I 0.1516 0.6118 0.8014  0.00
6 I 0.6498 0.6118 0.8014  0.00
7 I 0.5904 0.9033 0.1808  0.00
8 I 0.8847 0.1256 0.7694  0.00
9 I 0.4096 0.0967 0.8192  0.00
10 I 0.3502 0.3882 0.1986  0.00
11 Pm 0.7871 0.0000 0.0000  0.29
12 Pm 0.0000 0.5000 0.0000  0.08
13 Pm 0.2129 0.0000 0.0000  0.29

=====

The following is a PBE calculation of a geometry-optimized CsPmI6 structure, from Alexandria.

Computed properties:
The total energy comes out at -2.793 eV per atom. As for the crystal system: trigonal. The calculation puts the energy relative to the elements, uncorrected at -0.930 eV/atom. As for the total magnetic moment: 0.0 Bohr magnetons per cell.

Unit cell a=7.4184 b=7.4184 c=7.4184 alpha=94.51 beta=94.51 gamma=94.51
Sites, in units of the cell vectors:
1 I 0.7912 0.4034 0.7912
2 I 0.7912 0.7912 0.4034
3 I 0.5966 0.2088 0.2088
4 I 0.2088 0.2088 0.5966
5 I 0.2088 0.5966 0.2088
6 I 0.4034 0.7912 0.7912
7 Cs 0.0000 0.0000 0.0000
8 Pm 0.5000 0.5000 0.5000

=====

The following is a PBE calculation of a geometry-optimized CsPm2I8 structure, from Alexandria.

Computed properties:
The total energy comes out at -3.341 eV per atom. As for the excess energy over the best structure of this formula in the dataset: 0 meV/atom. As for the crystal system: monoclinic. The calculation puts the energy relative to the elements, uncorrected at -1.273 eV/atom. As for the total magnetic moment: 0.0 Bohr magnetons per cell.

Unit cell a=6.2678 b=9.2773 c=9.2773 alpha=115.87 beta=90.06 gamma=90.06
Sites, in units of the cell vectors:
1 I 0.9991 0.9452 0.6735
2 I 0.9991 0.6735 0.9452
3 I 0.7493 0.4993 0.4993
4 I 0.5000 0.7374 0.2626
5 I 0.0009 0.0548 0.3265
6 I 0.5000 0.2626 0.7374
7 I 0.2507 0.5007 0.5007
8 I 0.0009 0.3265 0.0548
9 Cs 0.5000 0.0000 0.0000
10 Pm 0.0000 0.6948 0.3052
11 Pm 0.0000 0.3052 0.6948

=====

The following is a PBE calculation of a geometry-optimized Cs2PmI5 structure, from Alexandria.

Computed properties:
The total energy comes out at -3.233 eV per atom. As for the excess energy over the best structure of this formula in the dataset: 49 meV/atom. As for the crystal system: tetragonal. The calculation puts the energy relative to the elements, uncorrected at -1.457 eV/atom. As for the total magnetic moment: 0.0 Bohr magnetons per cell.

Unit cell a=9.2344 b=9.2348 c=8.5042 alpha=122.87 beta=122.87 gamma=90.01
Sites, in units of the cell vectors:
1 I 0.2528 0.7894 0.0421
2 I 0.7895 0.2528 0.0422
3 I 0.2526 0.2526 0.0419
4 I 0.7063 0.7063 0.4129
5 I 0.7895 0.7895 0.0424
6 Cs 0.2571 0.7569 0.5140
7 Cs 0.7569 0.2571 0.5140
8 Pm 0.9723 0.9723 0.9446

=====

The following is a PBE calculation of a geometry-optimized CsPm2I6 structure, from Alexandria.

Computed properties:
The total energy comes out at -3.559 eV per atom. As for the crystal system: trigonal. The calculation puts the energy relative to the elements, uncorrected at -1.375 eV/atom. As for the total magnetic moment: 1.0 Bohr magnetons per cell.

Unit cell a=7.8598 b=7.8598 c=9.2085 alpha=90.00 beta=90.00 gamma=120.00
Each line ends with the local moment (μB).
Sites, in units of the cell vectors:
1 Cs 0.0000 0.0000 0.0000  0.00
2 I 0.6445 0.6445 0.7027  0.00
3 I 0.6445 0.0000 0.2973  0.00
4 I 0.3555 0.0000 0.7027  0.00
5 I 0.3555 0.3555 0.2973  0.00
6 I 0.0000 0.3555 0.7027  0.00
7 I 0.0000 0.6445 0.2973  0.00
8 Pm 0.3333 0.6667 0.5000  0.27
9 Pm 0.6667 0.3333 0.5000  0.27

=====

The following is a PBE calculation of a geometry-optimized Cs3Pm2I9 structure, from Alexandria.

Computed properties:
The total energy comes out at -3.355 eV per atom. As for the crystal system: hexagonal. The calculation puts the energy relative to the elements, uncorrected at -1.497 eV/atom. As for the total magnetic moment: 0.0 Bohr magnetons per cell.

Unit cell a=8.6896 b=8.6896 c=22.3377 alpha=90.00 beta=90.00 gamma=120.00
Sites, in units of the cell vectors:
1 I 0.8369 0.1631 0.0850
2 I 0.5044 0.4956 0.2500
3 I 0.3262 0.1631 0.4150
4 I 0.8369 0.6738 0.4150
5 I 0.8369 0.6738 0.0850
6 I 0.1631 0.8369 0.5850
7 I 0.8369 0.1631 0.4150
8 I 0.1631 0.3262 0.5850
9 I 0.6738 0.8369 0.9150
10 I 0.4956 0.9912 0.7500
11 I 0.4956 0.5044 0.7500
12 I 0.9912 0.4956 0.2500
13 I 0.3262 0.1631 0.0850
14 I 0.5044 0.0088 0.2500
15 I 0.1631 0.8369 0.9150
16 I 0.1631 0.3262 0.9150
17 I 0.0088 0.5044 0.7500
18 I 0.6738 0.8369 0.5850
19 Cs 0.3333 0.6667 0.0615
20 Cs 0.3333 0.6667 0.4385
21 Cs 0.0000 0.0000 0.2500
22 Cs 0.0000 0.0000 0.7500
23 Cs 0.6667 0.3333 0.9385
24 Cs 0.6667 0.3333 0.5615
25 Pm 0.6667 0.3333 0.3441
26 Pm 0.3333 0.6667 0.8441
27 Pm 0.3333 0.6667 0.6559
28 Pm 0.6667 0.3333 0.1559

=====

The following is a PBE calculation of a geometry-optimized Cs2PmI4 structure, from Alexandria.

Computed properties:
The total energy comes out at -3.178 eV per atom. As for the excess energy over the best structure of this formula in the dataset: 0 meV/atom. As for the crystal system: tetragonal. The calculation puts the energy relative to the elements, uncorrected at -1.369 eV/atom. As for the total magnetic moment: 0.6 Bohr magnetons per cell.

Unit cell a=6.1869 b=6.1869 c=10.6574 alpha=73.13 beta=73.13 gamma=90.00
Each line ends with the local moment (μB).
Sites, in units of the cell vectors:
1 I 0.0000 0.5000 0.0000  0.00
2 I 0.8360 0.8360 0.3279  0.01
3 I 0.5000 0.0000 0.0000  0.00
4 I 0.1640 0.1640 0.6721  0.01
5 Cs 0.6383 0.6383 0.7235  0.00
6 Cs 0.3617 0.3617 0.2765  0.00
7 Pm 0.0000 0.0000 0.0000  0.27

=====

The following is a PBE calculation of a geometry-optimized Cs2PmPuI6 structure, from Alexandria.

Computed properties:
The total energy comes out at -4.269 eV per atom. As for the crystal system: orthorhombic. The calculation puts the energy relative to the elements, uncorrected at -1.260 eV/atom. As for the total magnetic moment: 14.0 Bohr magnetons per cell.

Unit cell a=8.8551 b=8.8517 c=12.5193 alpha=90.00 beta=90.00 gamma=90.00
Each line ends with the local moment (μB).
Sites, in units of the cell vectors:
1 Pu 0.0000 0.7491 0.5000  5.84
2 Pu 0.5000 0.2509 0.0000  5.84
3 I 0.2514 0.9999 0.5000  -0.02
4 I 0.7510 0.5021 0.0000  -0.02
5 I 0.5000 0.2499 0.2511  -0.02
6 I 0.2510 0.4979 0.5000  -0.02
7 I 0.7486 0.9999 0.5000  -0.02
8 I 0.0000 0.7501 0.2489  -0.02
9 I 0.5000 0.2499 0.7489  -0.02
10 I 0.2486 0.0001 0.0000  -0.02
11 I 0.7490 0.4979 0.5000  -0.02
12 I 0.2490 0.5021 0.0000  -0.02
13 I 0.7514 0.0001 0.0000  -0.02
14 I 0.0000 0.7501 0.7511  -0.02
15 Cs 0.5000 0.7501 0.7495  0.00
16 Cs 0.0000 0.2499 0.2495  0.00
17 Cs 0.5000 0.7501 0.2505  0.00
18 Cs 0.0000 0.2499 0.7505  0.00
19 Pm 0.0000 0.7509 0.0000  0.42
20 Pm 0.5000 0.2491 0.5000  0.42

=====

The following is a PBE calculation of a geometry-optimized CsRb2PmI6 structure, from Alexandria.

Computed properties:
The total energy comes out at -3.172 eV per atom. As for the crystal system: monoclinic. The calculation puts the energy relative to the elements, uncorrected at -1.488 eV/atom. As for the total magnetic moment: 0.0 Bohr magnetons per cell.

Unit cell a=8.8313 b=9.5343 c=12.7358 alpha=90.00 beta=89.28 gamma=90.00
Sites, in units of the cell vectors:
1 I 0.1468 0.4379 0.7803
2 I 0.2837 0.6704 0.0651
3 I 0.6468 0.0621 0.2803
4 I 0.7163 0.3296 0.9349
5 I 0.2163 0.1704 0.4349
6 I 0.7837 0.8296 0.5651
7 I 0.8532 0.5621 0.2197
8 I 0.3481 0.7257 0.4158
9 I 0.6519 0.2743 0.5842
10 I 0.8481 0.7743 0.9158
11 I 0.3532 0.9379 0.7197
12 I 0.1519 0.2257 0.0842
13 Pm 0.0000 0.5000 0.0000
14 Pm 0.5000 0.0000 0.5000
15 Rb 0.4626 0.4123 0.2458
16 Rb 0.9626 0.0877 0.7458
17 Rb 0.5374 0.5877 0.7542
18 Rb 0.0374 0.9123 0.2542
19 Cs 0.5000 0.0000 0.0000
20 Cs 0.0000 0.5000 0.5000

=====

Copy entry 9 word for word.
The following is a PBE calculation of a geometry-optimized Cs3Pm2I9 structure, from Alexandria.

Computed properties:
The total energy comes out at -3.355 eV per atom. As for the crystal system: hexagonal. The calculation puts the energy relative to the elements, uncorrected at -1.497 eV/atom. As for the total magnetic moment: 0.0 Bohr magnetons per cell.

Unit cell a=8.6896 b=8.6896 c=22.3377 alpha=90.00 beta=90.00 gamma=120.00
Sites, in units of the cell vectors:
1 I 0.8369 0.1631 0.0850
2 I 0.5044 0.4956 0.2500
3 I 0.3262 0.1631 0.4150
4 I 0.8369 0.6738 0.4150
5 I 0.8369 0.6738 0.0850
6 I 0.1631 0.8369 0.5850
7 I 0.8369 0.1631 0.4150
8 I 0.1631 0.3262 0.5850
9 I 0.6738 0.8369 0.9150
10 I 0.4956 0.9912 0.7500
11 I 0.4956 0.5044 0.7500
12 I 0.9912 0.4956 0.2500
13 I 0.3262 0.1631 0.0850
14 I 0.5044 0.0088 0.2500
15 I 0.1631 0.8369 0.9150
16 I 0.1631 0.3262 0.9150
17 I 0.0088 0.5044 0.7500
18 I 0.6738 0.8369 0.5850
19 Cs 0.3333 0.6667 0.0615
20 Cs 0.3333 0.6667 0.4385
21 Cs 0.0000 0.0000 0.2500
22 Cs 0.0000 0.0000 0.7500
23 Cs 0.6667 0.3333 0.9385
24 Cs 0.6667 0.3333 0.5615
25 Pm 0.6667 0.3333 0.3441
26 Pm 0.3333 0.6667 0.8441
27 Pm 0.3333 0.6667 0.6559
28 Pm 0.6667 0.3333 0.1559